[1]
NiP2Pb: optimized geometry, GGA-PBE.

Summary:
DOS(E_F)   0.286 states/eV per atom
SG   Pm
ΔH_f (0 K)   -17.6 meV/atom

```
NiP2Pb
1.0
3.361 0.000 0.000
0.000 4.281 0.138
0.000 0.663 5.698
Ni P Pb
1 2 1
direct
0.500 0.704 0.107
0.000 0.000 0.863
0.500 0.222 0.041
0.000 0.573 0.489
```

***

[2]
NiP2Pb: optimized geometry, GGA-PBE.

Summary:
DOS(E_F)   0.891 states/eV per atom
SG   I4/mmm
ΔH_f (0 K)   663.1 meV/atom

```
NiP2Pb
1.0
4.855 0.046 0.000
0.876 4.775 0.000
-2.865 -2.410 3.090
Ni P Pb
1 2 1
direct
0.750 0.250 0.500
0.000 0.000 0.000
0.500 0.500 0.000
0.250 0.750 0.500
```

***

[3]
Ni2PPb: optimized geometry, GGA-PBE.

Summary:
DOS(E_F)   0.807 states/eV per atom
SG   Immm
ΔH_f (0 K)   98.5 meV/atom

```
Ni2PPb
1.0
4.465 1.151 -1.504
1.781 -0.072 4.510
-1.875 -3.175 -3.150
Ni P Pb
2 1 1
direct
0.823 0.823 0.000
0.177 0.177 0.000
0.000 0.500 0.500
0.500 0.000 0.500
```